5
Lattice="-2.0519 1.6631 -3.1990 2.6055 -1.8602 -2.6383 -3.8594 -4.6657 2.7397" Properties=species:S:1:pos:R:3 comment="PrMgGaPd2 (PBE, relaxed)" formation_enthalpy_0k_ev_per_atom=-0.70 pbc="T T T"
Pd -2.7663 -3.6788 -0.1382
Pr 0.0000 0.0000 0.0000
Pd -0.5394 -1.1840 -2.9594
Ga -0.4885 -3.3122 -1.4086
Mg -2.8172 -1.5506 -1.6890

=====

5
Lattice="5.4709 -0.2556 0.1045 -0.4546 -2.8494 4.6562 -2.6259 -1.8140 -4.4521" Properties=species:S:1:pos:R:3 comment="AlP2Cl2 (PBE, relaxed)" raw_formation_energy_ev_per_atom=0.3197 pbc="T T T"
Al 0.0000 0.0000 0.0000
P 1.8548 -1.1481 1.7603
Cl 2.6766 -1.8111 -0.9836
P 3.1615 -1.9570 3.0004
Cl -0.2862 -3.1080 1.2923